1.
Computed, not measured: RbAcPbSe3 after structural relaxation at the PBE-GGA level of DFT.

Calculated density (g cm⁻³): 5.3
Formation energy from raw total energies (meV per atom): -1303
Crystal system: monoclinic

Cell lengths 9.6948, 4.4861, 10.9583 Å; angles 90.00, 98.19, 90.00 degrees
With the nearest neighbours (Å) after each atom.
Element x y z (fractional)
Rb  0.1578  0.2500  0.1840  4 Se 3.44-3.61
Rb  0.8422  0.7500  0.8160  4 Se 3.44-3.61
Ac  0.3695  0.7500  0.8415  6 Se 3.08-3.18
Ac  0.6305  0.2500  0.1585  6 Se 3.08-3.18
Pb  0.1383  0.2500  0.5688  3 Se 2.82-2.87
Pb  0.8617  0.7500  0.4312  3 Se 2.82-2.87
Se  0.1354  0.2500  0.8257  1 Pb 2.82
Se  0.3192  0.7500  0.5542  2 Pb 2.87, 1 Ac 3.12
Se  0.4105  0.7500  0.1288  3 Ac 3.08-3.12, 2 Rb 3.44
Se  0.5895  0.2500  0.8712  3 Ac 3.08-3.12, 2 Rb 3.44
Se  0.6808  0.2500  0.4458  2 Pb 2.87, 1 Ac 3.12
Se  0.8646  0.7500  0.1743  1 Pb 2.82

2.
Computed, not measured: RbVTe3As after structural relaxation at the PBE-GGA level of DFT.

Calculated density (g cm⁻³): 5.6
D(E_F) (states/eV/atom): 0.447
Formation energy from raw total energies (meV per atom): -388
Crystal system: monoclinic

Cell lengths 9.3052, 3.5796, 11.0590 Å; angles 90.00, 106.18, 90.00 degrees
With the nearest neighbours (Å) after each atom.
Element x y z (fractional)
Rb  0.1915  0.2500  0.3093  2 Rb 3.58, 5 Te 3.76-3.84, 2 As 3.84
Rb  0.8085  0.7500  0.6907  2 Rb 3.58, 5 Te 3.76-3.84, 2 As 3.84
V  0.3146  0.7500  0.8397  2 As 2.57, 6 Te 2.77-2.86
V  0.6854  0.2500  0.1603  2 As 2.57, 6 Te 2.77-2.86
Te  0.1364  0.2500  0.9233  1 As 2.74, 2 V 2.77
Te  0.3887  0.7500  0.6084  1 V 2.83, 2 As 2.99
Te  0.4411  0.7500  0.1072  3 V 2.82-2.86
Te  0.5589  0.2500  0.8928  3 V 2.82-2.86
Te  0.6113  0.2500  0.3916  1 V 2.83, 2 As 2.99
Te  0.8636  0.7500  0.0767  1 As 2.74, 2 V 2.77
As  0.1722  0.2500  0.6859  2 V 2.57, 1 Te 2.74
As  0.8278  0.7500  0.3141  2 V 2.57, 1 Te 2.74

3.
Computed, not measured: Pr2Dy3PuTe6 after structural relaxation at the PBE-GGA level of DFT.

Calculated density (g cm⁻³): 8.0
D(E_F) (states/eV/atom): 1.142
Formation energy from raw total energies (meV per atom): -1319
Crystal system: monoclinic

Cell lengths 9.9247, 9.9247, 8.9222 Å; angles 103.73, 103.73, 25.57 degrees
With the nearest neighbours (Å) after each atom.
Element x y z (fractional)
Pr  0.1672  0.1672  0.3344  6 Te 3.19-3.21
Pr  0.8328  0.8328  0.6656  6 Te 3.19-3.21
Dy  0.1691  0.1691  0.8362  6 Te 3.07-3.11
Dy  0.5000  0.5000  0.5000  6 Te 3.06-3.11
Dy  0.8309  0.8309  0.1638  6 Te 3.07-3.11
Pu  0.5000  0.5000  0.0000  6 Te 3.14-3.15
Te  0.0037  0.0037  0.7482  3 Dy 3.11, 2 Pu 3.15, 1 Pr 3.21
Te  0.3331  0.3331  0.9251  3 Dy 3.07-3.08, 1 Pu 3.14, 2 Pr 3.19
Te  0.3369  0.3369  0.4076  3 Dy 3.06-3.07, 3 Pr 3.19-3.20
Te  0.6631  0.6631  0.5924  3 Dy 3.06-3.07, 3 Pr 3.19-3.20
Te  0.6669  0.6669  0.0749  3 Dy 3.07-3.08, 1 Pu 3.14, 2 Pr 3.19
Te  0.9963  0.9963  0.2518  3 Dy 3.11, 2 Pu 3.15, 1 Pr 3.21